A plane-wave DFT calculation with PBE was carried out for Y2AsPt after structural relaxation.

## Properties
density = 8.59 g cm⁻³
energy of formation = -36.2 kJ/mol of atoms
DOS at the Fermi energy = 1.212 states/eV/atom
SG = F-43m (216)
V = 21.65 Å³ per atom
energy above the most stable polymorph in this dataset = 0.936 eV/atom

abc: 4.966 4.966 4.966
angles: 60.00 60.00 60.00
Positions (direct):
Pt (0.750, 0.750, 0.750)
Y (0.000, 0.000, 0.000)
As (0.500, 0.500, 0.500)
Y (0.250, 0.250, 0.250)